[1]
# SrIn2Ir (GGA-PBE, optimized geometry)
# Total magnetization, Bohr magnetons per cell: 0.00
# Energy relative to the elements, eV/atom: 0.22
data_SrIn2Ir
_symmetry_space_group_name_H-M 'C 1 2/m 1'
_symmetry_Int_Tables_number 12
_cell_length_a 6.0166
_cell_length_b 10.3938
_cell_length_c 3.2322
_cell_angle_alpha 90.00
_cell_angle_beta 111.19
_cell_angle_gamma 90.00
loop_
_symmetry_equiv_pos_as_xyz
'x,y,z'
'-x,-y,-z'
'-x,y,-z'
'x,-y,z'
'x+1/2,y+1/2,z'
'-x+1/2,-y+1/2,-z'
'-x+1/2,y+1/2,-z'
'x+1/2,-y+1/2,z'
loop_
_atom_site_label
_atom_site_fract_x
_atom_site_fract_y
_atom_site_fract_z
_atom_site_occupancy
Sr1 0.0000 0.0000 0.0000 1
In1 0.2500 0.2500 0.5000 1
Ir1 0.0000 0.5000 0.0000 1



[2]
# SrIn8Ir2 (GGA-PBE, optimized geometry)
# Distance to the lowest polymorph of the same formula, meV/atom: 298
# Total magnetization, Bohr magnetons per cell: 0.00
# Energy relative to the elements, eV/atom: 0.04
data_SrIn8Ir2
_symmetry_space_group_name_H-M 'P 4/m m m'
_symmetry_Int_Tables_number 123
_symmetry_space_group_name_Hall '-P 4 2'
_cell_length_a 6.3941
_cell_length_b 6.3941
_cell_length_c 8.5974
_cell_angle_alpha 90.00
_cell_angle_beta 90.00
_cell_angle_gamma 90.00
loop_
_atom_site_label
_atom_site_fract_x
_atom_site_fract_y
_atom_site_fract_z
_atom_site_occupancy
Sr1 0.0000 0.0000 0.0000 1
In1 0.2526 0.2526 0.3117 1
Ir1 0.0000 0.5000 0.5000 1